Entry 1:
Crystalline Li9LaCd2 at its relaxed geometry, computed with PBE.

## Properties
Its calculated total energy is -2.066 eV/atom. For the total magnetization, the calculation gives 0.000 μB per cell. The energy of formation from the pure elements is -0.068 eV/atom. As for the density of states at the Fermi level: 6.71 states/eV/f.u.

Lattice parameters (Å, degrees): 11.593 11.593 7.511 90.00 90.00 90.00
Space group I4_1/amd (No. 141, origin choice 2)
Symmetry-distinct sites (fractional):
Li1 0.000 0.250 0.375
Li2 0.122 0.045 0.182
La1 0.000 0.250 0.875
Cd1 0.000 0.000 0.500

***

Entry 2:
Crystalline Ce3SnPt4 at its relaxed geometry, computed with PBE.

## Properties
Its calculated total energy is -6.591 eV/atom. For the total magnetization, the calculation gives 1.514 μB per cell. The energy of formation from the pure elements is -0.846 eV/atom. As for the density of states at the Fermi level: 10.85 states/eV/f.u.

Lattice parameters (Å, degrees): 19.131 4.063 4.865 90.00 93.86 90.00
Space group C2/m (No. 12)
Symmetry-distinct sites (fractional):
Ce1 0.000 0.000 0.000
Ce2 0.160 0.000 0.511
Sn1 0.000 0.500 0.500
Pt1 0.103 0.500 0.080
Pt2 0.226 0.500 0.840

***

Entry 3:
Crystalline Tb3ErPd12 at its relaxed geometry, computed with PBE.

## Properties
Its calculated total energy is -5.923 eV/atom. For the total magnetization, the calculation gives 0.000 μB per cell. The energy of formation from the pure elements is -0.875 eV/atom. As for the density of states at the Fermi level: 11.89 states/eV/f.u.

Lattice parameters (Å, degrees): 4.118 4.118 16.570 90.00 90.00 90.00
Space group P4/mmm (No. 123)
Symmetry-distinct sites (fractional):
Tb1 0.000 0.000 0.000
Tb2 0.000 0.000 0.251
Er1 0.000 0.000 0.500
Pd1 0.000 0.500 0.126
Pd2 0.000 0.500 0.377
Pd3 0.500 0.500 0.000
Pd4 0.500 0.500 0.251
Pd5 0.500 0.500 0.500